{
  "formula": "AlNiN2O",
  "functional": "GGA+U",
  "state": "relaxed",
  "lattice": [[3.663, 0.000, 0.000], [0.000, 3.663, 0.000], [0.000, 0.000, 3.714]],
  "species": ["Al", "Ni", "N", "N", "O"],
  "fractional_positions": [[0.000, 0.000, 0.000], [0.500, 0.500, 0.500], [0.000, 0.500, 0.500], [0.500, 0.000, 0.500], [0.500, 0.500, 0.000]],
  "e_tot_ev_per_atom": -4.639,
  "space_group": "P4/mmm, No. 123",
  "total_magnetization_mub_per_fu": 1.1
}